KCuPCl2 after structural relaxation, computed with GGA-PBE.

POSCAR file:
```
KCuPCl2
1.0
-3.474 0.390 -4.351
1.763 -4.962 -1.852
-4.043 -2.556 2.999
Cl Cu K P
2 1 1 1
Cartesian
0.881 -2.481 -0.926
-1.737 0.195 -2.176
-2.877 -3.564 -1.602
0.000 0.000 0.000
-2.022 -1.278 1.499
```

Computed properties:
The total magnetization comes out at 0.00 μB/cell. The calculation puts the formation energy (no corrections) at 0.81 eV per atom.